Material: DyYSnSe
Method: DFT, PBE
State: relaxed

Computed properties:
calculated volume: 109.2 Å³/cell
formation energy from raw total energies: -5.0 eV/f.u.

abc: 4.2561 4.2582 6.0233
angles: 90.00 90.00 90.00
Fractional coordinates of all 4 atoms:
Dy (0.5000, 0.3914, 0.0927)
Y (0.0000, 0.8916, 0.5922)
Sn (0.5000, 0.3916, 0.5926)
Se (0.0000, 0.8915, 0.0923)

Material: TbFe10Mo
Method: DFT, PBE
State: relaxed

Computed properties:
calculated volume: 158.8 Å³/cell
energy of formation from the pure elements: 0.1284 eV/atom

abc: 3.9921 4.8006 8.2861
angles: 90.00 90.00 90.00
Fractional coordinates of all 12 atoms:
Tb (0.0000, 0.0000, 0.0000)
Fe (0.0000, 0.0000, 0.3463)
Fe (0.0000, 0.5000, 0.8129)
Fe (0.0000, 0.5000, 0.1871)
Fe (0.0000, 0.0000, 0.6537)
Fe (0.5000, 0.0000, 0.5000)
Fe (0.5000, 0.5000, 0.0000)
Fe (0.5000, 0.2542, 0.2618)
Fe (0.5000, 0.7458, 0.7382)
Fe (0.5000, 0.7458, 0.2618)
Fe (0.5000, 0.2542, 0.7382)
Mo (0.0000, 0.5000, 0.5000)

Material: Pm5ZnTe4
Method: DFT, PBE
State: relaxed

Computed properties:
calculated volume: 307.9 Å³/cell
offset from the most stable computed form: 0.000 eV/atom
formation energy from raw total energies: -12.1 eV/f.u.

abc: 6.2758 7.6755 7.6755
angles: 80.38 65.87 65.87
Fractional coordinates of all 10 atoms:
Pm (0.9033, 0.3842, 0.8111)
Pm (0.2874, 0.8111, 0.6158)
Pm (0.7144, 0.1889, 0.3842)
Pm (0.0986, 0.6158, 0.1889)
Pm (0.5014, 0.0000, 0.0000)
Zn (0.0014, 0.0000, 0.0000)
Te (0.4070, 0.3975, 0.7903)
Te (0.8045, 0.7903, 0.6025)
Te (0.1974, 0.2097, 0.3975)
Te (0.5948, 0.6025, 0.2097)

Q: Which calculated total energy values were calculated for the entries above? A: -23.6, -98.5, -49.7, in eV per formula unit.